1.
A geometry-optimized Sm2In2Cu15 structure. Source: Alexandria via LeMat-Bulk, functional GGA-PBE.

a = 8.7991 Å, b = 8.7991 Å, c = 12.8534 Å
α = 90.00°, β = 90.00°, γ = 120.00°
Space group R-3m (No. 166, hexagonal axes)
Unique sites:
Sm 0.0000 0.0000 0.1451
In 0.0000 0.0000 0.3911
Cu 0.0000 0.3045 0.5000
Cu 0.0000 0.5000 0.0000
Cu 0.0065 0.5033 0.6531

Its energy is -4.12 eV/atom.



2.
A geometry-optimized SrSn2Cl structure. Source: Alexandria via LeMat-Bulk, functional GGA-PBE.

a = 7.871 Å, b = 7.871 Å, c = 7.871 Å
α = 90.00°, β = 90.00°, γ = 90.00°
Space group Fm-3m (No. 225)
Unique sites:
Sr 0.000 0.000 0.000
Sn 0.250 0.250 0.250
Cl 0.000 0.000 0.500

Its energy is -3.07 eV/atom. As for the raw formation energy: -0.19 eV/atom.



3.
A geometry-optimized Ga2AsPbI structure. Source: Alexandria via LeMat-Bulk, functional GGA-PBE.

a = 5.747 Å, b = 5.747 Å, c = 6.061 Å
α = 90.00°, β = 90.00°, γ = 90.00°
Space group P4/mmm (No. 123)
Unique sites:
Ga 0.000 0.500 0.000
As 0.000 0.000 0.500
Pb 0.500 0.500 0.500
I 0.500 0.500 0.000

Its energy is -2.39 eV/atom. As for the raw formation energy: 0.80 eV/atom.



4.
A geometry-optimized TiPdF2 structure. Source: Alexandria via LeMat-Bulk, functional GGA-PBE.

a = 4.155 Å, b = 4.155 Å, c = 13.304 Å
α = 90.00°, β = 90.00°, γ = 90.00°
Space group I-42d (No. 122)
Unique sites:
Ti 0.000 0.000 0.000
Pd 0.000 0.000 0.500
F 0.129 0.250 0.125

Its energy is -5.66 eV/atom. As for the raw formation energy: -1.45 eV/atom.



5.
A geometry-optimized ScCoSe structure. Source: Alexandria via LeMat-Bulk, functional GGA-PBE.

a = 9.822 Å, b = 3.611 Å, c = 6.267 Å
α = 90.00°, β = 90.00°, γ = 90.00°
Space group Amm2 (No. 38)
Unique sites:
Sc 0.164 0.000 0.000
Co 0.000 0.000 0.668
Co 0.500 0.000 0.000
Se 0.343 0.000 0.667

Its energy is -6.03 eV/atom. As for the raw formation energy: -0.39 eV/atom.



6.
A geometry-optimized Na2Ir2Au structure. Source: Alexandria via LeMat-Bulk, functional GGA-PBE.

a = 3.567 Å, b = 3.567 Å, c = 14.564 Å
α = 90.00°, β = 90.00°, γ = 90.00°
Space group I4/mmm (No. 139)
Unique sites:
Na 0.000 0.500 0.250
Ir 0.000 0.000 0.087
Au 0.000 0.000 0.500

Its energy is -3.73 eV/atom.



7.
A geometry-optimized MgPb2Au structure. Source: Alexandria via LeMat-Bulk, functional GGA-PBE.

a = 3.8406 Å, b = 3.8406 Å, c = 25.3261 Å
α = 90.00°, β = 90.00°, γ = 120.00°
Space group R-3m (No. 166, hexagonal axes)
Unique sites:
Mg 0.0000 0.0000 0.0000
Pb 0.0000 0.0000 0.2426
Au 0.0000 0.0000 0.5000

Its energy is -3.07 eV/atom.



8.
A geometry-optimized Tl2Re structure. Source: Alexandria via LeMat-Bulk, functional GGA-PBE.

a = 3.514 Å, b = 5.367 Å, c = 16.433 Å
α = 90.00°, β = 90.00°, γ = 90.00°
Space group Pnma (No. 62)
Unique sites:
Tl 0.184 0.250 0.157
Tl 0.209 0.750 0.456
Re 0.187 0.750 0.202

Its energy is -5.13 eV/atom.



9.
A geometry-optimized Y5ThBi6 structure. Source: Alexandria via LeMat-Bulk, functional GGA-PBE.

a = 7.801 Å, b = 13.506 Å, c = 7.804 Å
α = 90.00°, β = 109.49°, γ = 90.00°
Space group C2/m (No. 12)
Unique sites:
Y 0.000 0.000 0.000
Y 0.000 0.167 0.500
Y 0.000 0.335 0.000
Th 0.000 0.500 0.500
Bi 0.246 0.000 0.751
Bi 0.247 0.169 0.246

Its energy is -6.10 eV/atom.



10.
A geometry-optimized Sm2Dy6MgSc3 structure. Source: Alexandria via LeMat-Bulk, functional GGA-PBE.

a = 6.011 Å, b = 10.417 Å, c = 11.401 Å
α = 90.00°, β = 100.18°, γ = 90.00°
Space group C2/m (No. 12)
Unique sites:
Sm 0.000 0.167 0.000
Dy 0.246 0.500 0.740
Dy 0.248 0.166 0.740
Mg 0.000 0.500 0.000
Sc 0.000 0.000 0.500
Sc 0.000 0.335 0.500

Its energy is -4.76 eV/atom.



11.
A geometry-optimized AgPdN structure. Source: Alexandria via LeMat-Bulk, functional GGA-PBE.

a = 14.938 Å, b = 2.905 Å, c = 4.966 Å
α = 90.00°, β = 106.08°, γ = 90.00°
Space group Cm (No. 8)
Unique sites:
Ag 0.000 0.000 0.000
Ag 0.149 0.500 0.864
Pd 0.170 0.000 0.385
Pd 0.328 0.000 0.886
N 0.314 0.000 0.472
N 0.353 0.000 0.299

Its energy is -5.16 eV/atom. As for the raw formation energy: 0.29 eV/atom.



12.
A geometry-optimized TlCo2PbSe structure. Source: Alexandria via LeMat-Bulk, functional GGA-PBE.

a = 4.982 Å, b = 4.982 Å, c = 5.749 Å
α = 90.00°, β = 90.00°, γ = 90.00°
Space group P4/mmm (No. 123)
Unique sites:
Tl 0.000 0.000 0.000
Co 0.000 0.500 0.500
Pb 0.500 0.500 0.500
Se 0.500 0.500 0.000

Its energy is -3.70 eV/atom. As for the raw formation energy: 1.05 eV/atom.